Entry 1:
Material: VPPbO5
Method: DFT, PBE with a Hubbard U
State: relaxed

Final energy (eV/cell): -229.048
Size of the total moment (Bohr magnetons per cell): 8.00

Cell: 6.8681 9.2301 7.2251 Å, 90.00 114.60 90.00°
Last column: nearest neighbours and their distance in Å.
Space group C2/c (No. 15)
Unique sites:
V  0.0000  0.0000  0.0000 [4 per cell]  2 O 1.92
P  0.0000  0.3171  0.2500 [4 per cell]  4 O 1.55-1.58
Pb  0.0000  0.3191  0.7500 [4 per cell]  1 O 2.31
O  0.0000  0.0692  0.7500 [4 per cell]  2 V 1.92
O  0.0903  0.2180  0.1260 [8 per cell]  1 P 1.58
O  0.1804  0.4141  0.4013 [8 per cell]  1 P 1.55

Entry 2:
Material: VPPbO2
Method: DFT, PBE with a Hubbard U
State: relaxed

Final energy (eV/cell): -25.046
Size of the total moment (Bohr magnetons per cell): 2.03
ΔE to the lowest computed polymorph (meV per atom): 1111

Cell: 4.1377 4.1377 5.5914 Å, 90.00 90.00 90.00°
Last column: nearest neighbours and their distance in Å.
Space group P4/mmm (No. 123)
Unique sites:
V  0.0000  0.0000  0.0000 [1 per cell]  4 P 2.93
P  0.5000  0.5000  0.0000 [1 per cell]  2 Pb 2.80, 4 V 2.93
Pb  0.5000  0.5000  0.5000 [1 per cell]  4 O 2.07
O  0.0000  0.5000  0.5000 [2 per cell]  2 Pb 2.07

Entry 3:
Material: VP3Pb6O16
Method: DFT, PBE with a Hubbard U
State: relaxed

Final energy (eV/cell): -172.801
Size of the total moment (Bohr magnetons per cell): 0.00

Cell: 6.0407 7.4908 10.1996 Å, 90.97 90.07 113.12°
Last column: nearest neighbours and their distance in Å.
Space group P1 (No. 1)
Unique sites:
V  0.0000  0.0000  0.0000 [1 per cell]  4 O 1.72-1.76
P  0.1892  0.3791  0.3311 [1 per cell]  4 O 1.55-1.58
P  0.4839  0.0058  0.4977 [1 per cell]  4 O 1.55-1.58
P  0.6501  0.3723  0.8294 [1 per cell]  4 O 1.56-1.58
Pb  0.0238  0.8372  0.2903 [1 per cell]  3 O 2.35-2.42
Pb  0.2919  0.8301  0.7721 [1 per cell]  3 O 2.32-2.42
Pb  0.3676  0.5593  0.0537 [1 per cell]  4 O 2.37-2.56
Pb  0.6477  0.5433  0.5483 [1 per cell]  3 O 2.35-2.40
Pb  0.6768  0.1919  0.1682 [1 per cell]  8 O 2.60-2.87
Pb  0.9827  0.1927  0.6660 [1 per cell]  7 O 2.59-2.85
O  0.0256  0.1604  0.3140 [1 per cell]  1 P 1.55
O  0.0524  0.4954  0.2677 [1 per cell]  1 P 1.56
O  0.0534  0.2432  0.0134 [1 per cell]  1 V 1.72
O  0.2168  0.9426  0.0846 [1 per cell]  1 V 1.76
O  0.2329  0.9491  0.5668 [1 per cell]  1 P 1.58
O  0.2440  0.4306  0.4799 [1 per cell]  1 P 1.56
O  0.4341  0.9525  0.3491 [1 per cell]  1 P 1.56
O  0.4354  0.4341  0.2568 [1 per cell]  1 P 1.58
O  0.4607  0.4273  0.7511 [1 per cell]  1 P 1.58
O  0.5951  0.1513  0.8179 [1 per cell]  1 P 1.56
O  0.6190  0.8921  0.5657 [1 per cell]  1 P 1.56
O  0.6457  0.2249  0.5137 [1 per cell]  1 P 1.55
O  0.6470  0.4318  0.9762 [1 per cell]  1 P 1.56
O  0.7317  0.8821  0.0843 [1 per cell]  1 V 1.75
O  0.9007  0.4817  0.7638 [1 per cell]  1 P 1.57
O  0.9916  0.9335  0.8331 [1 per cell]  1 V 1.76

Entry 4:
Material: VP2PbO8
Method: DFT, PBE with a Hubbard U
State: relaxed

Final energy (eV/cell): -345.100
Size of the total moment (Bohr magnetons per cell): 4.00
ΔE to the lowest computed polymorph (meV per atom): 0

Cell: 7.5243 9.0924 9.3187 Å, 90.00 90.00 90.00°
Last column: nearest neighbours and their distance in Å.
Space group P2_12_12_1 (No. 19)
Unique sites:
V  0.2236  0.2495  0.0034 [4 per cell]  1 O 1.69
P  0.1995  0.0298  0.2781 [4 per cell]  4 O 1.52-1.61
P  0.2011  0.5307  0.2221 [4 per cell]  4 O 1.52-1.61
Pb  0.0016  0.6823  0.9024 [4 per cell]  5 O 2.47-2.76
O  0.0009  0.4863  0.2643 [4 per cell]  2 P 1.61
O  0.0020  0.2467  0.0323 [4 per cell]  1 V 1.69
O  0.2001  0.1506  0.3905 [4 per cell]  1 P 1.52
O  0.2011  0.6529  0.1112 [4 per cell]  1 P 1.52
O  0.2070  0.4274  0.8643 [4 per cell]  1 P 1.54
O  0.2111  0.9246  0.6356 [4 per cell]  1 P 1.55
O  0.2132  0.1143  0.8286 [4 per cell]  1 P 1.54
O  0.2129  0.6131  0.6683 [4 per cell]  1 P 1.54

Entry 5:
Material: VP2PbO8
Method: DFT, PBE with a Hubbard U
State: relaxed

Final energy (eV/cell): -256.881
Size of the total moment (Bohr magnetons per cell): 3.00
ΔE to the lowest computed polymorph (meV per atom): 54

Cell: 4.8336 4.8336 22.4111 Å, 90.00 90.00 120.00°
Last column: nearest neighbours and their distance in Å.
Space group R-3 (No. 148, hexagonal axes)
Unique sites:
V  0.0000  0.0000  0.0000 [3 per cell]  6 O 1.95
P  0.0000  0.0000  0.2592 [6 per cell]  4 O 1.54-1.55
Pb  0.0000  0.0000  0.5000 [3 per cell]  12 O 2.84-3.15
O  0.0000  0.0000  0.1906 [6 per cell]  1 P 1.54
O  0.0132  0.6321  0.3851 [18 per cell]  1 P 1.55

Entry 6:
Material: VPPbO2
Method: DFT, PBE with a Hubbard U
State: relaxed

Final energy (eV/cell): -30.603
Size of the total moment (Bohr magnetons per cell): 0.94
ΔE to the lowest computed polymorph (meV per atom): 0

Cell: 3.8574 3.8574 5.1392 Å, 90.00 90.00 90.00°
Last column: nearest neighbours and their distance in Å.
Space group P4/mmm (No. 123)
Unique sites:
V  0.0000  0.0000  0.0000 [1 per cell]  4 O 1.93
P  0.0000  0.0000  0.5000 [1 per cell]  2 V 2.57, 4 Pb 2.73
Pb  0.5000  0.5000  0.5000 [1 per cell]  4 P 2.73
O  0.0000  0.5000  0.0000 [2 per cell]  2 V 1.93

Entry 7:
Material: VPPbO6
Method: DFT, PBE with a Hubbard U
State: relaxed

Final energy (eV/cell): -254.187
Size of the total moment (Bohr magnetons per cell): 0.00

Cell: 5.7241 9.9356 8.5706 Å, 90.00 91.56 90.00°
Last column: nearest neighbours and their distance in Å.
Space group P2_1/c (No. 14)
Unique sites:
V  0.1519  0.0902  0.0884 [4 per cell]  2 O 1.68-1.73
P  0.1589  0.1068  0.7121 [4 per cell]  4 O 1.54-1.58
Pb  0.3837  0.6873  0.0711 [4 per cell]  5 O 2.43-2.66
O  0.0023  0.2180  0.6360 [4 per cell]  1 P 1.55
O  0.0185  0.5281  0.2269 [4 per cell]  1 P 1.57
O  0.1777  0.5756  0.5290 [4 per cell]  1 V 1.73
O  0.2440  0.1574  0.8784 [4 per cell]  1 P 1.58
O  0.3691  0.0716  0.6110 [4 per cell]  1 P 1.54
O  0.4090  0.1352  0.1709 [4 per cell]  1 V 1.68

Entry 8:
Material: P2PbWO8
Method: DFT, PBE with a Hubbard U
State: relaxed

Final energy (eV/cell): -252.720
Size of the total moment (Bohr magnetons per cell): 6.00

Cell: 4.8559 4.8559 23.5632 Å, 90.00 90.00 120.00°
Last column: nearest neighbours and their distance in Å.
Space group R32 (No. 155, hexagonal axes)
Unique sites:
P  0.0000  0.0000  0.2455 [6 per cell]  4 O 1.53-1.55
Pb  0.0000  0.0000  0.0000 [3 per cell]  12 O 2.85-3.17
W  0.0000  0.0000  0.5000 [3 per cell]  6 O 2.08
O  0.0000  0.0000  0.3106 [6 per cell]  1 P 1.53
O  0.0156  0.3838  0.8903 [18 per cell]  1 P 1.55